Entry 1:
{
  "formula": "PmDy2Hg",
  "functional": "PBE",
  "state": "relaxed",
  "cell": [[-2.903, 2.863, -3.590], [-5.428, -0.187, 0.129], [-2.829, 4.339, 1.638]],
  "species": ["Pm", "Hg", "Dy", "Dy"],
  "fractional_positions": [[0.000, 0.000, 0.000], [0.500, 0.500, 0.500], [0.250, 0.250, 0.250], [0.750, 0.750, 0.750]],
  "e_above_lowest_polymorph_ev_per_atom": 0.2059
}

Entry 2:
{
  "formula": "PmDyHg5",
  "functional": "PBE",
  "state": "relaxed",
  "cell": [[5.139, 0.000, 0.000], [0.000, 5.139, 0.000], [0.000, 0.000, 7.065]],
  "species": ["Pm", "Dy", "Hg", "Hg", "Hg", "Hg", "Hg"],
  "fractional_positions": [[0.000, 0.000, 0.500], [0.500, 0.500, 0.000], [0.000, 0.500, 0.773], [0.000, 0.500, 0.227], [0.500, 0.000, 0.773], [0.500, 0.000, 0.227], [0.500, 0.500, 0.500]]
}

Entry 3:
{
  "formula": "PmDyHg",
  "functional": "PBE",
  "state": "relaxed",
  "cell": [[-3.880, -2.872, 1.836], [-3.254, -2.333, -3.262], [0.115, -5.136, -0.529]],
  "species": ["Pm", "Hg", "Dy"],
  "fractional_positions": [[0.500, 0.500, 0.500], [0.250, 0.250, 0.250], [0.000, 0.000, 0.000]],
  "e_above_lowest_polymorph_ev_per_atom": 0.2062
}

Entry 4:
{
  "formula": "PmDy6Hg3",
  "functional": "PBE",
  "state": "relaxed",
  "cell": [[5.030, 0.000, 0.000], [0.000, 9.220, -6.762], [0.000, -3.143, 15.069]],
  "species": ["Pm", "Pm", "Dy", "Dy", "Dy", "Dy", "Dy", "Dy", "Dy", "Dy", "Dy", "Dy", "Dy", "Dy", "Hg", "Hg", "Hg", "Hg", "Hg", "Hg"],
  "fractional_positions": [[0.250, 0.627, 0.746], [0.750, 0.373, 0.254], [0.250, 0.079, 0.465], [0.750, 0.921, 0.535], [0.250, 0.143, 0.030], [0.750, 0.857, 0.970], [0.250, 0.636, 0.019], [0.750, 0.364, 0.981], [0.250, 0.598, 0.244], [0.750, 0.402, 0.756], [0.250, 0.335, 0.404], [0.750, 0.665, 0.596], [0.250, 0.009, 0.749], [0.750, 0.991, 0.251], [0.250, 0.254, 0.741], [0.750, 0.746, 0.259], [0.250, 0.659, 0.469], [0.750, 0.341, 0.531], [0.250, 0.999, 0.131], [0.750, 0.001, 0.869]]
}

Entry 5:
{
  "formula": "PmDyHg2",
  "functional": "PBE",
  "state": "relaxed",
  "cell": [[-3.254, -0.421, 1.796], [-0.590, -3.212, -1.822], [3.571, -3.819, 5.575]],
  "species": ["Pm", "Hg", "Hg", "Dy"],
  "fractional_positions": [[0.500, 0.500, 0.500], [0.000, 0.000, 0.765], [0.000, 0.000, 0.235], [0.500, 0.500, 0.000]],
  "e_above_lowest_polymorph_ev_per_atom": 0.0000
}

Entry 6:
{
  "formula": "Pm3Dy4Hg8",
  "functional": "PBE",
  "state": "relaxed",
  "cell": [[9.106, 0.000, 5.257], [3.035, 8.585, 5.257], [0.000, 0.000, 10.514]],
  "species": ["Pm", "Pm", "Pm", "Pm", "Pm", "Pm", "Dy", "Dy", "Dy", "Dy", "Dy", "Dy", "Dy", "Dy", "Hg", "Hg", "Hg", "Hg", "Hg", "Hg", "Hg", "Hg", "Hg", "Hg", "Hg", "Hg", "Hg", "Hg", "Hg", "Hg"],
  "fractional_positions": [[0.750, 0.750, 0.250], [0.250, 0.250, 0.750], [0.750, 0.250, 0.250], [0.250, 0.750, 0.750], [0.750, 0.250, 0.750], [0.250, 0.750, 0.250], [0.000, 0.000, 0.000], [0.500, 0.500, 0.000], [0.000, 0.000, 0.500], [0.500, 0.000, 0.000], [0.000, 0.500, 0.500], [0.500, 0.000, 0.500], [0.000, 0.500, 0.000], [0.500, 0.500, 0.500], [0.608, 0.131, 0.131], [0.392, 0.869, 0.869], [0.131, 0.131, 0.608], [0.131, 0.131, 0.131], [0.869, 0.869, 0.392], [0.869, 0.869, 0.869], [0.131, 0.608, 0.131], [0.869, 0.392, 0.869], [0.892, 0.369, 0.369], [0.108, 0.631, 0.631], [0.369, 0.369, 0.892], [0.369, 0.369, 0.369], [0.631, 0.631, 0.108], [0.631, 0.631, 0.631], [0.369, 0.892, 0.369], [0.631, 0.108, 0.631]]
}

Entry 7:
{
  "formula": "PmDy2Hg3",
  "functional": "PBE",
  "state": "relaxed",
  "cell": [[-0.932, 3.624, 0.240], [-3.494, -0.827, -1.082], [-2.986, -1.481, 10.776]],
  "species": ["Pm", "Dy", "Dy", "Hg", "Hg", "Hg"],
  "fractional_positions": [[0.500, 0.500, 0.500], [0.500, 0.500, 0.836], [0.500, 0.500, 0.164], [0.000, 0.000, 0.000], [0.000, 0.000, 0.677], [0.000, 0.000, 0.323]]
}

Entry 8:
{
  "formula": "PmDy2Hg3",
  "functional": "PBE",
  "state": "relaxed",
  "cell": [[-0.170, 0.863, 5.199], [4.073, -6.208, 3.838], [6.452, 3.957, -0.445]],
  "species": ["Pm", "Pm", "Dy", "Dy", "Dy", "Dy", "Hg", "Hg", "Hg", "Hg", "Hg", "Hg"],
  "fractional_positions": [[0.334, 0.332, 0.000], [0.666, 0.668, 0.000], [0.000, 0.000, 0.000], [0.000, 0.000, 0.500], [0.332, 0.337, 0.500], [0.668, 0.663, 0.500], [0.836, 0.328, 0.740], [0.500, 0.000, 0.259], [0.164, 0.672, 0.260], [0.836, 0.328, 0.260], [0.164, 0.672, 0.740], [0.500, 0.000, 0.741]]
}

Entry 9:
{
  "formula": "PmDy3Hg7",
  "functional": "PBE",
  "state": "relaxed",
  "cell": [[3.587, 0.000, 0.000], [-1.794, 15.910, 0.000], [0.000, 0.000, 12.676]],
  "species": ["Pm", "Pm", "Dy", "Dy", "Dy", "Dy", "Dy", "Dy", "Hg", "Hg", "Hg", "Hg", "Hg", "Hg", "Hg", "Hg", "Hg", "Hg", "Hg", "Hg", "Hg", "Hg"],
  "fractional_positions": [[0.927, 0.854, 0.250], [0.073, 0.146, 0.750], [0.069, 0.137, 0.453], [0.931, 0.863, 0.547], [0.188, 0.377, 0.750], [0.812, 0.623, 0.250], [0.069, 0.137, 0.047], [0.931, 0.863, 0.953], [0.424, 0.847, 0.750], [0.576, 0.153, 0.250], [0.489, 0.979, 0.383], [0.511, 0.021, 0.617], [0.511, 0.021, 0.883], [0.489, 0.979, 0.117], [0.369, 0.738, 0.409], [0.631, 0.262, 0.591], [0.269, 0.539, 0.421], [0.731, 0.461, 0.579], [0.731, 0.461, 0.921], [0.269, 0.539, 0.079], [0.369, 0.738, 0.091], [0.631, 0.262, 0.909]]
}

Entry 10:
{
  "formula": "Pm8DyHg2",
  "functional": "PBE",
  "state": "relaxed",
  "cell": [[-2.128, -0.928, -5.213], [-4.790, -5.711, 4.751], [-1.501, 8.670, 0.847]],
  "species": ["Pm", "Pm", "Pm", "Pm", "Pm", "Pm", "Pm", "Pm", "Dy", "Hg", "Hg"],
  "fractional_positions": [[0.896, 0.908, 0.683], [0.896, 0.683, 0.908], [0.300, 0.600, 0.600], [0.500, 0.776, 0.224], [0.500, 0.224, 0.776], [0.700, 0.400, 0.400], [0.104, 0.317, 0.092], [0.104, 0.092, 0.317], [0.500, 0.000, 0.000], [0.000, 0.306, 0.694], [0.000, 0.694, 0.306]]
}

Entry 11:
{
  "formula": "PmDy2Hg",
  "functional": "PBE",
  "state": "relaxed",
  "cell": [[-1.310, -1.905, 2.838], [1.162, -3.418, 0.602], [7.735, 1.943, 7.235]],
  "species": ["Pm", "Dy", "Dy", "Hg"],
  "fractional_positions": [[0.500, 0.500, 0.500], [0.075, 0.075, 0.776], [0.259, 0.259, 0.224], [0.667, 0.667, 0.000]],
  "e_above_lowest_polymorph_ev_per_atom": 0.0781
}

Entry 12:
{
  "formula": "Pm4DyHg5",
  "functional": "PBE",
  "state": "relaxed",
  "cell": [[3.796, 0.000, 0.000], [0.000, 3.796, 0.000], [0.000, 0.000, 18.964]],
  "species": ["Pm", "Pm", "Pm", "Pm", "Dy", "Hg", "Hg", "Hg", "Hg", "Hg"],
  "fractional_positions": [[0.000, 0.000, 0.197], [0.000, 0.000, 0.399], [0.000, 0.000, 0.601], [0.000, 0.000, 0.803], [0.000, 0.000, 0.000], [0.500, 0.500, 0.093], [0.500, 0.500, 0.298], [0.500, 0.500, 0.500], [0.500, 0.500, 0.702], [0.500, 0.500, 0.907]]
}

| no. | calculated formation energy (eV/f.u.) | mass density (g cm⁻³) | final energy (eV per atom) |
| --- | --- | --- | --- |
| 1 | -0.1 | 9.82 | -3.589 |
| 2 | -2.0 | 11.66 | -1.833 |
| 3 | -0.3 | 8.66 | -3.316 |
| 4 | -2.2 | 9.66 | -3.547 |
| 5 | -1.9 | 11.01 | -2.967 |
| 6 | -6.1 | 10.87 | -2.742 |
| 7 | -2.9 | 11.22 | -2.954 |
| 8 | -2.9 | 11.23 | -2.953 |
| 9 | -2.2 | 9.35 | -2.082 |
| 10 | -0.7 | 7.91 | -3.989 |
| 11 | -0.6 | 9.09 | -3.717 |
| 12 | -4.7 | 10.61 | -2.986 |